No. 1
Compound: Sr3LiPd
Source: Alexandria
Functional: PBE
Structure: relaxed

Values from the calculation:
E above lowest polymorph = 79 kJ/mol of formula units
Total DFT energy (no corrections) = -2.543 eV/atom

Lattice parameters (Å, degrees): 8.1769 10.8882 8.2471 90.00 90.00 90.00
Element x y z (fractional)
Sr: 0.0884 0.2500 0.2190
Sr: 0.1549 0.0783 0.6629
Sr: 0.1549 0.4217 0.6629
Sr: 0.3451 0.5783 0.1629
Sr: 0.3451 0.9217 0.1629
Sr: 0.4116 0.7500 0.7190
Sr: 0.5884 0.2500 0.2810
Sr: 0.6549 0.0783 0.8371
Sr: 0.6549 0.4217 0.8371
Sr: 0.8451 0.5783 0.3371
Sr: 0.8451 0.9217 0.3371
Sr: 0.9116 0.7500 0.7810
Li: 0.0000 0.0000 0.0000
Li: 0.0000 0.5000 0.0000
Li: 0.5000 0.0000 0.5000
Li: 0.5000 0.5000 0.5000
Pd: 0.1342 0.7500 0.4582
Pd: 0.3658 0.2500 0.9582
Pd: 0.6342 0.7500 0.0418
Pd: 0.8658 0.2500 0.5418

No. 2
Compound: RbHgCl2
Source: Alexandria
Functional: PBE
Structure: relaxed

Values from the calculation:
E above lowest polymorph = 40 kJ/mol of formula units
Total DFT energy (no corrections) = -2.183 eV/atom

Lattice parameters (Å, degrees): 7.7213 7.7213 7.7213 90.00 90.00 90.00
Element x y z (fractional)
Rb: 0.0000 0.0000 0.0000
Rb: 0.0000 0.5000 0.5000
Rb: 0.5000 0.0000 0.5000
Rb: 0.5000 0.5000 0.0000
Hg: 0.0000 0.0000 0.5000
Hg: 0.0000 0.5000 0.0000
Hg: 0.5000 0.0000 0.0000
Hg: 0.5000 0.5000 0.5000
Cl: 0.2500 0.2500 0.2500
Cl: 0.2500 0.2500 0.7500
Cl: 0.2500 0.7500 0.2500
Cl: 0.2500 0.7500 0.7500
Cl: 0.7500 0.2500 0.2500
Cl: 0.7500 0.2500 0.7500
Cl: 0.7500 0.7500 0.2500
Cl: 0.7500 0.7500 0.7500

No. 3
Compound: Na3HoU3S8
Source: Alexandria
Functional: PBE
Structure: relaxed

Values from the calculation:
Total DFT energy (no corrections) = -6.510 eV/atom

Lattice parameters (Å, degrees): 8.1560 8.1560 8.1560 58.26 58.26 58.26
Element x y z (fractional)
Na: 0.0000 0.5000 0.5000
Na: 0.5000 0.0000 0.5000
Na: 0.5000 0.5000 0.0000
Ho: 0.5000 0.5000 0.5000
U: 0.0000 0.0000 0.5000
U: 0.0000 0.5000 0.0000
U: 0.5000 0.0000 0.0000
S: 0.2417 0.7403 0.7403
S: 0.2432 0.2432 0.2432
S: 0.2596 0.2596 0.7583
S: 0.2596 0.7583 0.2596
S: 0.7403 0.2417 0.7403
S: 0.7403 0.7403 0.2417
S: 0.7568 0.7568 0.7568
S: 0.7583 0.2596 0.2596

no.,magnetic moment (μB per cell)
1,0.000
2,0.011
3,8.000